A relaxed structure of BaTc2Ni. Source: the Alexandria database, functional PBEsol.

Values from the calculation:
The calculation puts the offset from the most stable computed form at 247 meV/atom. The formation energy comes out at 1.238 eV per atom. Its spin magnetization is 0.061 μB per atom.

Cell lengths 3.7236, 3.7236, 5.2554 Å; angles 90.00, 90.00, 90.00 degrees
With the nearest neighbours (Å) after each atom.
Space group P4/mmm (No. 123)
Asymmetric unit:
Ba 0.0000 0.0000 0.0000 [1 per cell]  4 Ni 2.63
Tc 0.0000 0.5000 0.5000 [2 per cell]  4 Tc 2.63
Ni 0.5000 0.5000 0.0000 [1 per cell]  4 Ba 2.63



A relaxed structure of BaTcNi2. Source: the Alexandria database, functional PBEsol.

Values from the calculation:
The calculation puts the offset from the most stable computed form at 0 meV/atom. The formation energy comes out at 0.234 eV per atom. Its spin magnetization is 0.000 μB per atom.

Cell lengths 4.1338, 4.1338, 16.7733 Å; angles 90.00, 90.00, 120.00 degrees
With the nearest neighbours (Å) after each atom.
Space group R-3m (No. 166, hexagonal axes)
Asymmetric unit:
Ba 0.0000 0.0000 0.0000 [3 per cell]  2 Ni 3.07
Tc 0.0000 0.0000 0.5000 [3 per cell]  6 Ni 2.40
Ni 0.0000 0.0000 0.1832 [6 per cell]  3 Tc 2.40, 3 Ni 2.45



A relaxed structure of BaTcNi2Te. Source: the Alexandria database, functional PBEsol.

Values from the calculation:
For the formation energy from raw total energies, the calculation gives 0.657 eV per atom. Its spin magnetization is 0.515 μB per atom.

Cell lengths 4.7286, 4.7286, 5.0621 Å; angles 90.00, 90.00, 90.00 degrees
With the nearest neighbours (Å) after each atom.
Space group P4/mmm (No. 123)
Asymmetric unit:
Ba 0.0000 0.0000 0.0000 [1 per cell]  4 Tc 3.34, 8 Ni 3.46
Tc 0.5000 0.5000 0.0000 [1 per cell]  2 Te 2.53
Ni 0.0000 0.5000 0.5000 [2 per cell]  2 Te 2.36
Te 0.5000 0.5000 0.5000 [1 per cell]  4 Ni 2.36, 2 Tc 2.53



A relaxed structure of Ba2ZnTcNi. Source: the Alexandria database, functional PBEsol.

Values from the calculation:
The formation energy comes out at 1.079 eV per atom. Its spin magnetization is 0.615 μB per atom.

Cell lengths 5.9877, 5.9877, 4.3341 Å; angles 90.00, 90.00, 90.00 degrees
With the nearest neighbours (Å) after each atom.
Space group P4/mmm (No. 123)
Asymmetric unit:
Ba 0.0000 0.5000 0.0000 [2 per cell]  2 Zn 2.99
Zn 0.0000 0.0000 0.0000 [1 per cell]  2 Ni 2.17
Tc 0.5000 0.5000 0.5000 [1 per cell]  8 Ba 3.70
Ni 0.0000 0.0000 0.5000 [1 per cell]  2 Zn 2.17



A relaxed structure of Ba2NiTe. Source: the Alexandria database, functional PBEsol.

Values from the calculation:
For the formation energy from raw total energies, the calculation gives -0.613 eV per atom. Its spin magnetization is 0.000 μB per atom.

Cell lengths 12.2130, 4.6730, 4.5519 Å; angles 90.00, 90.05, 90.00 degrees
With the nearest neighbours (Å) after each atom.
Space group Cm (No. 8)
Asymmetric unit:
Ba 0.0000 0.0000 0.0000 [2 per cell]  3 Te 3.41-3.63, 4 Ni 3.42-3.43
Ba 0.2184 0.5000 0.4998 [2 per cell]  3 Ni 3.35-3.71, 4 Te 3.40
Ni 0.4150 0.0000 0.5010 [2 per cell]  2 Te 2.69-2.70
Te 0.2971 0.0000 0.0001 [2 per cell]  2 Ni 2.69-2.70



A relaxed structure of Ba2NiTe. Source: the Alexandria database, functional PBEsol.

Values from the calculation:
For the formation energy from raw total energies, the calculation gives -0.536 eV per atom. Its spin magnetization is 0.030 μB per atom.

Cell lengths 4.7358, 4.7358, 6.7218 Å; angles 90.00, 90.00, 90.00 degrees
With the nearest neighbours (Å) after each atom.
Space group P4mm (No. 99)
Asymmetric unit:
Ba 0.0000 0.0000 0.0000 [1 per cell]  1 Ni 3.13, 4 Te 3.36
Ba 0.5000 0.5000 0.4704 [1 per cell]  2 Te 3.35-3.37, 4 Ni 3.35
Ni 0.0000 0.0000 0.4652 [1 per cell]  5 Ba 3.13-3.35
Te 0.5000 0.5000 0.9685 [1 per cell]  6 Ba 3.35-3.37



A relaxed structure of Ba2NiTe2. Source: the Alexandria database, functional PBEsol.

Values from the calculation:
For the formation energy from raw total energies, the calculation gives -0.257 eV per atom. Its spin magnetization is 0.000 μB per atom.

Cell lengths 4.3657, 4.3657, 18.1110 Å; angles 90.00, 90.00, 90.00 degrees
With the nearest neighbours (Å) after each atom.
Space group I4/mmm (No. 139)
Asymmetric unit:
Ba 0.0000 0.0000 0.0981 [4 per cell]  4 Te 3.51, 1 Ba 3.56, 4 Ni 3.56
Ni 0.0000 0.0000 0.5000 [2 per cell]  8 Ba 3.56
Te 0.0000 0.5000 0.2500 [4 per cell]  4 Te 3.09



A relaxed structure of Ba2NiTe. Source: the Alexandria database, functional PBEsol.

Values from the calculation:
For the formation energy from raw total energies, the calculation gives -0.561 eV per atom. Its spin magnetization is 0.017 μB per atom.

Cell lengths 4.0178, 4.0177, 7.8322 Å; angles 90.00, 90.07, 90.00 degrees
With the nearest neighbours (Å) after each atom.
Space group P2/m (No. 10)
Asymmetric unit:
Ba 0.0010 0.0000 0.2632 [2 per cell]  4 Ni 3.39-3.40, 4 Te 3.51, 1 Ba 3.71
Ni 0.5000 0.5000 0.5000 [1 per cell]  8 Ba 3.39-3.40
Te 0.5000 0.5000 0.0000 [1 per cell]  8 Ba 3.51, 2 Ni 3.92



spin magnetization of number 5 (Ba2NiTe)?
0.000 μB per atom